The following is a GGA-PBEsol calculation of a geometry-optimized S structure, from the Alexandria database.

Geometry as extended XYZ:
```
32
Lattice="8.1986 0.0000 0.0000 0.0000 13.0886 0.0000 -4.8992 0.0000 7.8026" Properties=species:S:1:pos:R:3 pbc="T T T"
S -0.2654 2.3523 1.5884
S -2.7150 10.7363 5.4897
S -2.8200 2.0354 6.4236
S -0.3704 11.0532 2.5223
S -1.2570 4.9646 4.3998
S 1.1926 8.1240 0.4985
S -2.9281 6.3155 7.7123
S -0.4785 6.7731 3.8109
S -1.4595 0.7469 5.5838
S 0.9901 12.3417 1.6824
S 0.8832 1.0409 2.6810
S -1.5664 12.0477 6.5824
S 1.9469 5.0276 1.5092
S -0.5027 8.0610 5.4105
S 0.3023 3.6970 4.8319
S 2.7519 9.3917 0.9305
S 0.5476 3.6970 6.8721
S 2.9972 9.3917 2.9708
S 3.8022 5.0276 2.3921
S 1.3526 8.0610 6.2934
S 4.8659 1.0409 1.2203
S 2.4163 12.0477 5.1216
S 2.3093 0.7469 6.1202
S 4.7589 12.3417 2.2189
S 3.7780 6.3155 3.9917
S 6.2276 6.7731 0.0904
S 2.1069 4.9646 7.3041
S 4.5565 8.1240 3.4028
S 3.6699 2.0354 5.2804
S 6.1195 11.0532 1.3791
S 6.0144 2.3523 2.3129
S 3.5648 10.7363 6.2142
```

Properties
ΔE_f (raw) ... 0.0015 eV per atom
D(E_F) ... 0.00 states/eV/cell
Uncorrected energy ... -4.38 eV per atom

---

The following is a GGA-PBEsol calculation of a geometry-optimized S structure, from the Alexandria database.

Geometry as extended XYZ:
```
3
Lattice="4.3796 0.0000 0.0000 -2.1898 3.7928 0.0000 0.0000 0.0000 4.3903" Properties=species:S:1:pos:R:3 pbc="T T T"
S -0.4226 0.7320 0.7317
S 0.8453 0.0000 3.6586
S 1.7672 3.0608 2.1952
```

Properties
ΔE_f (raw) ... 0.0349 eV per atom
D(E_F) ... 0.00 states/eV/cell
Uncorrected energy ... -4.35 eV per atom

---

The following is a GGA-PBEsol calculation of a geometry-optimized S structure, from the Alexandria database.

Geometry as extended XYZ:
```
48
Lattice="10.7228 0.0000 0.0000 0.0000 10.5726 0.0000 -1.2737 0.0000 10.9990" Properties=species:S:1:pos:R:3 pbc="T T T"
S -0.1698 0.0000 4.8677
S -0.7222 7.0329 9.7847
S 0.4032 7.6826 0.7279
S -0.2108 2.2226 7.3523
S 0.1495 1.9673 5.3467
S 1.1495 4.5957 2.8975
S 0.5240 5.4000 9.7451
S 1.7012 9.2353 1.0465
S 1.6293 9.5694 4.8848
S 1.5875 2.2059 8.3554
S 2.4001 3.4926 1.7012
S 1.8619 8.6420 6.7033
S 2.2985 5.7547 4.1412
S 2.6089 1.6180 2.5145
S 1.8557 0.3273 9.1400
S 2.4511 4.8108 5.9564
S 2.3925 6.0407 9.1861
S 3.4216 8.5144 1.9122
S 3.0641 9.8058 7.8927
S 3.9537 1.8475 5.5575
S 4.3734 1.5691 3.5664
S 3.5620 6.2677 10.8642
S 4.8320 8.2402 0.4460
S 4.2530 3.8178 6.0376
S 5.1962 9.1041 4.9614
S 4.6171 2.9539 10.5530
S 5.8871 0.9814 0.1348
S 5.0757 6.8554 7.4326
S 5.4955 7.1338 5.4415
S 6.3851 4.5195 3.1063
S 6.0276 3.2281 9.0867
S 7.0567 0.7544 1.8129
S 6.9980 10.0971 5.0426
S 7.5934 5.6136 1.8590
S 6.8402 6.9043 8.4845
S 7.1507 0.4684 6.8578
S 7.5873 3.3557 4.2957
S 7.0490 8.7789 9.2978
S 7.8617 7.4922 2.6436
S 7.8198 4.2831 6.1142
S 7.7479 3.9490 9.9525
S 8.9251 0.1137 1.2539
S 8.2997 9.8820 8.1015
S 9.2997 7.2536 5.6523
S 9.6599 7.5089 3.6467
S 9.0460 2.3963 10.2711
S 10.1713 1.7466 1.2142
S 9.6189 5.2863 6.1313
```

Properties
ΔE_f (raw) ... 0.0000 eV per atom
D(E_F) ... 0.00 states/eV/cell
Uncorrected energy ... -4.38 eV per atom

---

The following is a GGA-PBEsol calculation of a geometry-optimized S structure, from the Alexandria database.

Geometry as extended XYZ:
```
72
Lattice="8.0155 0.0000 0.0000 0.0000 13.7706 0.0000 -3.9099 0.0000 16.2739" Properties=species:S:1:pos:R:3 pbc="T T T"
S -0.4747 0.4849 2.1552
S -2.4296 6.4004 10.2921
S -0.2567 9.6420 1.6166
S -2.2117 11.0139 9.7535
S -1.7208 9.2817 8.7206
S 0.2342 11.3742 0.5837
S -0.1623 3.1871 5.2406
S -2.1172 3.6982 13.3776
S -1.9614 0.0499 12.7945
S -0.0064 6.8354 4.6576
S -1.0663 7.9385 10.1288
S 0.8887 12.7174 1.9919
S -0.8378 2.5592 10.4013
S 1.1172 4.3260 2.2643
S 0.3672 10.1853 5.6282
S -1.5878 10.4706 13.7651
S -1.5787 7.1341 14.2089
S 0.3762 13.5218 6.0719
S -0.1680 1.1899 9.0189
S 1.7870 5.6953 0.8820
S -1.3641 8.9708 15.1312
S 0.5908 11.6850 6.9943
S 2.3846 7.3623 1.9620
S 0.4297 13.2936 10.0990
S 2.4292 2.7366 2.3172
S 0.4743 4.1487 10.4541
S 1.6089 3.3543 6.2763
S -0.3461 3.5310 14.4132
S -0.2029 0.2028 13.8960
S 1.7520 6.6825 5.7590
S 2.1170 10.0661 4.5090
S 0.1621 10.5898 12.6459
S -0.4626 1.6648 15.2932
S 1.4923 5.2205 7.1563
S 0.1524 6.9329 13.1109
S 2.1074 13.7230 4.9740
S 1.9983 0.0476 11.2999
S 3.9532 6.8377 3.1630
S 2.6133 8.5501 9.1176
S 4.5682 12.1058 0.9807
S 3.9436 3.1808 3.6280
S 1.9886 3.7045 11.7649
S 2.3536 7.0881 10.5149
S 4.3085 13.5678 2.3779
S 4.4517 10.2396 1.8607
S 2.4967 10.4163 9.9976
S 3.6314 9.6219 5.8198
S 1.6764 11.0340 13.9567
S 3.6759 0.4770 6.1749
S 1.7210 6.4083 14.3118
S 3.5148 2.0855 9.2796
S 5.4697 4.7998 1.1427
S 2.3186 8.0752 15.3919
S 4.2736 12.5806 7.2550
S 3.7294 0.2488 10.2020
S 5.6844 6.6365 2.0650
S 5.6934 3.3000 2.5088
S 3.7384 3.5853 10.6457
S 2.9884 9.4445 14.0095
S 4.9434 11.2113 5.8726
S 3.2169 1.0532 14.2820
S 5.1719 5.8321 6.1451
S 4.1120 6.9352 11.6163
S 6.0670 13.7207 3.4794
S 6.2229 10.0724 2.8963
S 4.2679 10.5835 11.0333
S 3.8714 2.3964 15.6902
S 5.8264 4.4889 7.5533
S 6.3173 2.7567 6.5204
S 4.3623 4.1286 14.6573
S 6.5352 7.3702 5.9817
S 4.5803 13.2857 14.1187
```

Properties
ΔE_f (raw) ... 0.0296 eV per atom
D(E_F) ... 0.00 states/eV/cell
Uncorrected energy ... -4.35 eV per atom

---

The following is a GGA-PBEsol calculation of a geometry-optimized S structure, from the Alexandria database.

Geometry as extended XYZ:
```
8
Lattice="8.5676 0.0000 0.0000 0.0000 8.5676 0.0000 0.0000 0.0000 4.3169" Properties=species:S:1:pos:R:3 pbc="T T T"
S 0.0000 2.3646 0.0000
S 0.0000 6.2029 0.0000
S 1.6713 1.6713 0.9629
S 1.6713 6.8963 0.9629
S 2.3646 0.0000 0.0000
S 6.2029 0.0000 0.0000
S 6.8963 1.6713 0.9629
S 6.8963 6.8963 0.9629
```

Properties
ΔE_f (raw) ... 0.0236 eV per atom
D(E_F) ... 0.00 states/eV/cell
Uncorrected energy ... -4.36 eV per atom

---

The following is a GGA-PBEsol calculation of a geometry-optimized S structure, from the Alexandria database.

Geometry as extended XYZ:
```
72
Lattice="7.4661 0.0000 0.0000 0.0000 11.1214 0.0000 0.0000 0.0000 21.4918" Properties=species:S:1:pos:R:3 pbc="T T T"
S 0.0196 2.3568 1.3206
S 0.0337 10.3998 20.1501
S 0.1933 2.0460 8.9249
S 0.2707 10.0953 12.5253
S 0.2784 2.2703 5.6419
S 0.2770 10.2958 15.8136
S 0.5300 7.1940 14.3914
S 0.5374 10.2903 7.1309
S 0.6600 3.1376 13.0294
S 0.7256 6.2362 8.4923
S 1.0949 3.0440 7.3666
S 1.1279 11.0861 14.1111
S 1.2098 9.4758 8.8893
S 1.2258 6.3702 12.6495
S 1.2616 6.0018 15.9071
S 1.2729 9.0823 5.6306
S 1.4031 5.5709 20.3346
S 1.4615 8.6590 1.1977
S 2.2716 2.4623 11.9436
S 2.3299 5.5504 9.5887
S 2.4602 2.0390 16.3765
S 2.4715 5.1195 5.1612
S 2.5073 4.7511 1.9036
S 2.5232 1.6455 19.6352
S 2.6052 0.0352 3.3652
S 2.6382 8.0774 18.1125
S 3.0074 4.8851 19.2382
S 3.0731 7.9837 2.2835
S 3.1956 0.8311 17.8768
S 3.2030 3.9274 3.6455
S 3.4560 0.8256 5.0677
S 3.4547 8.8510 16.3878
S 3.4623 1.0261 1.7794
S 3.5398 9.0754 19.6708
S 3.6993 0.7216 9.4042
S 3.7134 8.7645 12.0666
S 3.7527 3.2039 20.1712
S 3.7668 6.2823 1.3417
S 3.9263 3.5147 12.5669
S 4.0038 6.5868 8.9665
S 4.0114 3.2904 15.8499
S 4.0101 6.3862 5.6782
S 4.2631 9.4880 7.1004
S 4.2705 6.3918 14.3610
S 4.3930 2.4231 8.4624
S 4.4587 10.4458 12.9995
S 4.8279 2.5167 14.1253
S 4.8609 5.5959 7.3807
S 4.9429 7.2062 12.6025
S 4.9588 10.3118 8.8423
S 4.9946 10.6802 5.5847
S 5.0059 7.5997 15.8613
S 5.1362 11.1111 1.1572
S 5.1945 8.0230 20.2941
S 6.0046 3.0983 9.5482
S 6.0630 0.0103 11.9031
S 6.1932 3.5217 5.1153
S 6.2045 0.4412 16.3306
S 6.2403 0.8095 19.5882
S 6.2563 3.9152 1.8566
S 6.3382 5.5255 18.1266
S 6.3712 8.6047 3.3793
S 6.7405 0.6755 2.2536
S 6.8061 8.6983 19.2083
S 6.9287 4.7296 3.6150
S 6.9360 1.6333 17.8463
S 7.1891 4.7351 16.4241
S 7.1877 7.8310 5.1040
S 7.1954 4.5346 19.7124
S 7.2728 7.6066 1.8210
S 7.4324 4.8391 12.0876
S 7.4465 7.9175 9.4253
```

Properties
ΔE_f (raw) ... 0.0132 eV per atom
D(E_F) ... 0.00 states/eV/cell
Uncorrected energy ... -4.37 eV per atom

---

The following is a GGA-PBEsol calculation of a geometry-optimized S structure, from the Alexandria database.

Geometry as extended XYZ:
```
80
Lattice="13.9890 0.0000 0.0000 0.0000 9.1239 0.0000 -6.6621 0.0000 15.6992" Properties=species:S:1:pos:R:3 pbc="T T T"
S 0.0000 0.0000 0.0000
S -3.3311 4.5420 7.8496
S -1.2544 6.3627 3.4156
S -4.5780 1.7929 11.2714
S -0.6896 2.4191 3.0440
S -4.0112 6.9744 10.8954
S -2.6677 0.4088 8.6343
S 0.6644 4.9910 0.7838
S 0.1726 7.8438 3.3297
S -3.1488 3.2711 11.1731
S 1.4300 1.2148 0.8491
S -1.9001 5.7571 8.6967
S -1.2430 1.8431 8.2437
S 2.0883 6.4254 0.3910
S 0.7218 3.5149 4.0669
S -2.5982 8.0763 11.9097
S -3.8088 1.5988 15.1035
S -0.4794 6.1428 7.2501
S 0.1113 0.9830 6.9559
S -3.2198 5.5648 14.8024
S 1.5149 7.4925 4.8472
S -1.8079 2.9330 12.6949
S -2.3931 0.1113 15.2427
S 0.9380 4.6566 7.3870
S 2.1705 2.2052 4.7193
S -1.1515 6.7700 12.5726
S 2.9102 6.1545 4.1404
S -0.4099 1.5917 11.9990
S 1.5069 0.0166 8.1220
S 4.8380 4.5981 0.2689
S 3.5905 2.0326 3.2281
S 0.2686 6.5842 11.0830
S 4.2433 7.2282 3.0051
S 0.9208 2.6594 10.8555
S 5.6411 0.7193 0.9536
S 2.3082 5.2624 8.7996
S 5.0236 3.4734 3.5509
S 1.7003 8.0291 11.3941
S 2.9560 1.3955 8.6037
S 6.2855 5.9777 0.7529
S 6.9945 1.9373 0.0000
S 3.6634 6.4809 7.8496
S 4.3709 1.3955 7.0955
S 1.0414 5.9777 14.9463
S 2.3033 3.4734 12.1483
S 5.6266 8.0291 4.3051
S 1.6858 0.7193 14.7456
S 5.0187 5.2624 6.8996
S 6.4060 2.6594 4.8437
S 3.0836 7.2282 12.6941
S 3.7363 2.0326 12.4711
S 7.0583 6.5842 4.6162
S 5.8200 0.0166 7.5772
S 2.4889 4.5981 15.4303
S 7.7368 1.5917 3.7002
S 4.4166 6.1545 11.5588
S 8.4783 6.7700 3.1266
S 5.1564 2.2052 10.9799
S 9.7199 0.1113 0.4565
S 6.3889 4.6566 8.3122
S 9.1347 2.9330 3.0043
S 5.8120 7.4925 10.8520
S 7.2156 0.9830 8.7433
S 10.5467 5.5648 0.8968
S 11.1357 1.5988 0.5957
S 7.8063 6.1428 8.4491
S 9.9251 8.0763 3.7895
S 6.6051 3.5149 11.6323
S 8.5699 1.8431 7.4555
S 5.2386 6.4254 15.3082
S 5.8969 1.2148 14.8501
S 9.2270 5.7571 7.0025
S 10.4757 3.2711 4.5261
S 7.1543 7.8438 12.3695
S 9.9946 0.4088 7.0649
S 6.6624 4.9910 14.9154
S 11.3380 6.9744 4.8038
S 8.0165 2.4191 12.6552
S 11.9049 1.7929 4.4278
S 8.5813 6.3627 12.2836
```

Properties
ΔE_f (raw) ... 0.0040 eV per atom
D(E_F) ... 0.00 states/eV/cell
Uncorrected energy ... -4.38 eV per atom

---

The following is a GGA-PBEsol calculation of a geometry-optimized Sb2S3 structure, from the Alexandria database.

Geometry as extended XYZ:
```
20
Lattice="11.2624 0.0000 0.0000 0.0000 3.8270 0.0000 0.0000 0.0000 10.9007" Properties=species:S:1:pos:R:3 pbc="T T T"
Sb 0.2705 0.9568 1.8971
Sb 1.7263 2.8703 5.0983
Sb 3.9049 0.9568 10.5487
Sb 5.3607 2.8703 7.3474
Sb 5.9017 0.9568 3.5533
Sb 7.3575 2.8703 0.3520
Sb 9.5361 0.9568 5.8024
Sb 10.9919 2.8703 9.0036
S 0.5484 0.9568 6.8354
S 1.4185 2.8703 0.6252
S 2.3681 0.9568 3.3598
S 3.2631 2.8703 8.8101
S 4.2127 0.9568 6.0756
S 5.0828 2.8703 1.3851
S 6.1796 0.9568 9.5156
S 7.0497 2.8703 4.8251
S 7.9993 0.9568 2.0906
S 8.8943 2.8703 7.5409
S 9.8439 0.9568 10.2755
S 10.7140 2.8703 4.0653
```

Properties
ΔE_f (raw) ... -0.2917 eV per atom
Uncorrected energy ... -4.75 eV per atom